[1]
Ac3In2Ge | PBE | relaxed

Cell lengths 6.826, 7.415, 8.565 Å; angles 77.68, 73.42, 84.47 degrees
Space group P-1 (No. 2)
One atom of each set of equivalent atoms:
Ac: 0.044 0.088 0.211 (multiplicity 2)
Ac: 0.297 0.613 0.160 (multiplicity 2)
Ac: 0.423 0.266 0.481 (multiplicity 2)
In: 0.197 0.427 0.845 (multiplicity 2)
In: 0.429 0.977 0.848 (multiplicity 2)
Ge: 0.073 0.635 0.540 (multiplicity 2)

Computed properties:
Energy relative to the lowest polymorph listed for this composition ... 0.0219 eV per atom
Energy of formation ... -0.444 eV/atom



[2]
AcIn2Ge2 | PBE | relaxed

Cell lengths 4.557, 4.557, 12.676 Å; angles 90.00, 90.00, 90.00 degrees
Space group I4/mmm (No. 139)
One atom of each set of equivalent atoms:
Ac: 0.000 0.000 0.000 (multiplicity 2)
In: 0.000 0.500 0.250 (multiplicity 4)
Ge: 0.000 0.000 0.400 (multiplicity 4)

Computed properties:
Energy of formation ... -0.270 eV/atom



[3]
AcIn2Ge | PBE | relaxed

Cell lengths 3.922, 3.922, 7.298 Å; angles 90.00, 90.00, 90.00 degrees
Space group P4/mmm (No. 123)
One atom of each set of equivalent atoms:
Ac: 0.000 0.000 0.000 (multiplicity 1)
In: 0.500 0.500 0.302 (multiplicity 2)
Ge: 0.000 0.000 0.500 (multiplicity 1)

Computed properties:
Energy relative to the lowest polymorph listed for this composition ... 0.1751 eV per atom
Energy of formation ... -0.204 eV/atom



[4]
Ac3InGe3 | PBE | relaxed

Cell lengths 4.351, 4.799, 20.108 Å; angles 90.00, 90.00, 90.00 degrees
Space group Imm2 (No. 44)
One atom of each set of equivalent atoms:
Ac: 0.000 0.000 0.000 (multiplicity 2)
Ac: 0.000 0.000 0.367 (multiplicity 2)
Ac: 0.000 0.500 0.696 (multiplicity 2)
In: 0.000 0.500 0.120 (multiplicity 2)
Ge: 0.000 0.000 0.533 (multiplicity 2)
Ge: 0.000 0.000 0.835 (multiplicity 2)
Ge: 0.000 0.500 0.256 (multiplicity 2)

Computed properties:
Energy relative to the lowest polymorph listed for this composition ... 0.0000 eV per atom
Energy of formation ... -0.616 eV/atom